## LiZrCd2 (meta-GGA SCAN)

Data for LiZrCd2 at its PBEsol-relaxed geometry.

Cell: 2.9878 2.9878 10.5429 Å, 81.85 81.85 60.00°
Last column: nearest neighbours and their distance in Å.
Fractional coordinates of all 4 atoms:
Cd  0.0012  0.0012  0.9965  9 Cd 2.99-3.15, 3 Zr 3.14
Cd  0.7525  0.7525  0.7426  3 Li 2.96, 9 Cd 2.99-3.15
Li  0.4961  0.4961  0.5117  3 Cd 2.96, 6 Li 2.99, 3 Zr 3.23
Zr  0.2503  0.2503  0.2492  6 Zr 2.99, 3 Cd 3.14, 3 Li 3.23

Values from the calculation:
SG   R3m (160)
Crystal system   trigonal
Formation energy   -0.01 eV/atom
Energy relative to the lowest polymorph listed for this composition   232 meV per atom
E   -23.488 eV per atom

## Ta2AgIr (meta-GGA SCAN)

Data for Ta2AgIr at its PBEsol-relaxed geometry.

Cell: 2.8790 4.8882 4.9543 Å, 101.06 106.89 90.00°
Last column: nearest neighbours and their distance in Å.
Fractional coordinates of all 4 atoms:
Ir  0.0000  0.5000  0.0000  6 Ta 2.77-2.92, 4 Ag 2.84, 2 Ir 2.88
Ag  0.5000  0.0000  0.0000  4 Ir 2.84, 6 Ta 2.84-2.89, 2 Ag 2.88
Ta  0.2572  0.2581  0.5144  3 Ir 2.77-2.92, 6 Ta 2.80-2.88, 3 Ag 2.84-2.89
Ta  0.7428  0.7419  0.4856  3 Ir 2.77-2.92, 6 Ta 2.80-2.88, 3 Ag 2.84-2.89

Values from the calculation:
SG   C2/m (12)
Crystal system   monoclinic
Formation energy   0.09 eV/atom
E   -58.816 eV per atom

## CrAgW2 (meta-GGA SCAN)

Data for CrAgW2 at its PBEsol-relaxed geometry.

Cell: 4.4031 4.4031 4.4031 Å, 60.00 60.00 60.00°
Last column: nearest neighbours and their distance in Å.
Fractional coordinates of all 4 atoms:
Ag  0.5000  0.5000  0.5000  4 Cr 2.70, 4 W 2.70
Cr  0.7500  0.7500  0.7500  4 W 2.70, 4 Ag 2.70
W  0.0000  0.0000  0.0000  4 Cr 2.70, 4 W 2.70
W  0.2500  0.2500  0.2500  4 W 2.70, 4 Ag 2.70

Values from the calculation:
SG   F-43m (216)
Crystal system   cubic
Formation energy   0.60 eV/atom
Energy relative to the lowest polymorph listed for this composition   81 meV per atom
E   -46.680 eV per atom

## InIrPb2 (meta-GGA SCAN)

Data for InIrPb2 at its PBEsol-relaxed geometry.

Cell: 3.1764 4.5109 7.2310 Å, 108.17 102.69 90.00°
Last column: nearest neighbours and their distance in Å.
Fractional coordinates of all 4 atoms:
In  0.5000  0.0000  0.0000  4 Ir 2.76
Ir  0.0000  0.5000  0.0000  4 In 2.76, 4 Pb 2.90
Pb  0.6817  0.6817  0.3634  2 Ir 2.90, 2 Pb 3.18
Pb  0.3183  0.3183  0.6366  2 Ir 2.90, 2 Pb 3.18

Values from the calculation:
SG   Immm (71)
Crystal system   orthorhombic
Formation energy   0.07 eV/atom
E   -63.937 eV per atom

Question: What is the formula in the second record?
Answer: Ta2AgIr

Question: E of number 2 (Ta2AgIr)?
Answer: -58.816 eV per atom